# Ho2H4Ru, optimized geometry, DFT PBE
data_Ho2H4Ru
_chemical_formula_sum 'Ho4 H8 Ru2'
_symmetry_space_group_name_H-M 'I 4/m m m'
_symmetry_Int_Tables_number 139
_symmetry_space_group_name_Hall '-I 4 2'
_cell_length_a 3.555
_cell_length_b 3.555
_cell_length_c 12.528
_cell_angle_alpha 90.00
_cell_angle_beta 90.00
_cell_angle_gamma 90.00
loop_
_atom_site_label
_atom_site_type_symbol
_atom_site_fract_x
_atom_site_fract_y
_atom_site_fract_z
Ho1 Ho 0.000 0.000 0.151
H1 H 0.000 0.000 0.354
H2 H 0.000 0.500 0.000
Ru1 Ru 0.000 0.000 0.500
# Calculated density ... 9.121 g/cm3
# Calculated total energy ... -4.9453 eV/atom
# Fermi-level density of states ... 6.7 states/eV/cell